# 1
This record from Alexandria via LeMat-Bulk describes an optimized crystal structure of MgCu2Mo. The functional is PBE.

* formation energy from the elements: 0.1529 eV/atom
* distance to the lowest polymorph of the same formula: 38 meV per atom
* total energy: -5.00 eV per atom

Geometry as CIF:
```
data_MgCu2Mo
_symmetry_space_group_name_H-M 'P 4 m m'
_symmetry_Int_Tables_number 99
_symmetry_space_group_name_Hall 'P 4 -2'
_cell_length_a 2.752
_cell_length_b 2.752
_cell_length_c 7.664
_cell_angle_alpha 90.00
_cell_angle_beta 90.00
_cell_angle_gamma 90.00
loop_
_atom_site_label
_atom_site_type_symbol
_atom_site_fract_x
_atom_site_fract_y
_atom_site_fract_z
Mg1 Mg 0.000 0.000 0.000
Cu1 Cu 0.000 0.000 0.536
Cu2 Cu 0.500 0.500 0.746
Mo1 Mo 0.500 0.500 0.291
```

# 2
This record from Alexandria via LeMat-Bulk describes an optimized crystal structure of MgCuMo2. The functional is PBE.

* formation energy from the elements: 0.2828 eV/atom
* distance to the lowest polymorph of the same formula: 121 meV per atom
* total energy: -6.56 eV per atom

Geometry as CIF:
```
data_MgCuMo2
_symmetry_space_group_name_H-M 'P 1 2/m 1'
_symmetry_Int_Tables_number 10
_symmetry_space_group_name_Hall '-P 2y'
_cell_length_a 2.654
_cell_length_b 4.572
_cell_length_c 5.210
_cell_angle_alpha 90.00
_cell_angle_beta 102.03
_cell_angle_gamma 90.00
loop_
_atom_site_label
_atom_site_type_symbol
_atom_site_fract_x
_atom_site_fract_y
_atom_site_fract_z
Mg1 Mg 0.000 0.000 0.000
Cu1 Cu 0.000 0.000 0.500
Mo1 Mo 0.473 0.500 0.748
```

# 3
This record from Alexandria via LeMat-Bulk describes an optimized crystal structure of MgCuMo2. The functional is PBE.

* formation energy from the elements: 0.3068 eV/atom
* distance to the lowest polymorph of the same formula: 145 meV per atom
* total energy: -6.53 eV per atom

Geometry as CIF:
```
data_MgCuMo2
_symmetry_space_group_name_H-M 'P m m m'
_symmetry_Int_Tables_number 47
_symmetry_space_group_name_Hall '-P 2 2'
_cell_length_a 2.653
_cell_length_b 4.441
_cell_length_c 5.243
_cell_angle_alpha 90.00
_cell_angle_beta 90.00
_cell_angle_gamma 90.00
loop_
_atom_site_label
_atom_site_type_symbol
_atom_site_fract_x
_atom_site_fract_y
_atom_site_fract_z
Mg1 Mg 0.000 0.000 0.000
Cu1 Cu 0.000 0.000 0.500
Mo1 Mo 0.500 0.500 0.254
```

# 4
This record from Alexandria via LeMat-Bulk describes an optimized crystal structure of MgCuMo2. The functional is PBE.

* formation energy from the elements: 0.3185 eV/atom
* distance to the lowest polymorph of the same formula: 157 meV per atom
* total energy: -6.52 eV per atom

Geometry as CIF:
```
data_MgCuMo2
_symmetry_space_group_name_H-M 'P 4/m m m'
_symmetry_Int_Tables_number 123
_symmetry_space_group_name_Hall '-P 4 2'
_cell_length_a 2.689
_cell_length_b 2.689
_cell_length_c 8.575
_cell_angle_alpha 90.00
_cell_angle_beta 90.00
_cell_angle_gamma 90.00
loop_
_atom_site_label
_atom_site_type_symbol
_atom_site_fract_x
_atom_site_fract_y
_atom_site_fract_z
Mg1 Mg 0.000 0.000 0.000
Cu1 Cu 0.000 0.000 0.500
Mo1 Mo 0.500 0.500 0.270
```

# 5
This record from Alexandria via LeMat-Bulk describes an optimized crystal structure of MgCu2Mo. The functional is PBE.

* formation energy from the elements: 0.2135 eV/atom
* distance to the lowest polymorph of the same formula: 98 meV per atom
* total energy: -4.94 eV per atom

Geometry as CIF:
```
data_MgCu2Mo
_symmetry_space_group_name_H-M 'C m m m'
_symmetry_Int_Tables_number 65
_symmetry_space_group_name_Hall '-C 2 2'
_cell_length_a 5.784
_cell_length_b 7.618
_cell_length_c 2.635
_cell_angle_alpha 90.00
_cell_angle_beta 90.00
_cell_angle_gamma 90.00
loop_
_atom_site_label
_atom_site_type_symbol
_atom_site_fract_x
_atom_site_fract_y
_atom_site_fract_z
Mg1 Mg 0.000 0.000 0.000
Cu1 Cu 0.250 0.250 0.500
Mo1 Mo 0.000 0.500 0.000
```

# 6
This record from Alexandria via LeMat-Bulk describes an optimized crystal structure of Mg4CuMo. The functional is PBE.

* formation energy from the elements: 0.6546 eV/atom
* total energy: -2.90 eV per atom

Geometry as CIF:
```
data_Mg4CuMo
_symmetry_space_group_name_H-M 'F -4 3 m'
_symmetry_Int_Tables_number 216
_symmetry_space_group_name_Hall 'F -4 2 3'
_cell_length_a 7.790
_cell_length_b 7.790
_cell_length_c 7.790
_cell_angle_alpha 90.00
_cell_angle_beta 90.00
_cell_angle_gamma 90.00
loop_
_atom_site_label
_atom_site_type_symbol
_atom_site_fract_x
_atom_site_fract_y
_atom_site_fract_z
Mg1 Mg 0.125 0.125 0.125
Cu1 Cu 0.000 0.000 0.500
Mo1 Mo 0.250 0.250 0.750
```

Q: Number 2 is which compound?
A: MgCuMo2